1.
The following is a DFT calculation (SCAN) of a PBEsol-optimized structure of BaTi3W.

Results
SG: Pm-3m (221)
Energy of formation: 2.4630 eV per atom

a = 4.7776 Å, b = 4.7776 Å, c = 4.7776 Å
α = 90.00°, β = 90.00°, γ = 90.00°
Atoms (fractional coordinates):
Ba 0.0000 0.0000 0.0000
Ti 0.0000 0.0000 0.5000
Ti 0.0000 0.5000 0.0000
Ti 0.5000 0.0000 0.0000
W 0.5000 0.5000 0.5000

2.
The following is a DFT calculation (SCAN) of a PBEsol-optimized structure of MgCd2Ag.

Results
SG: Cm (8)
Energy of formation: -0.1058 eV per atom

a = 5.1952 Å, b = 5.1952 Å, c = 4.9825 Å
α = 103.62°, β = 103.62°, γ = 36.12°
Atoms (fractional coordinates):
Mg 0.0000 0.0000 0.0000
Cd 0.2426 0.2426 0.7291
Cd 0.4870 0.4870 0.4836
Ag 0.7417 0.7417 0.2245

3.
The following is a DFT calculation (SCAN) of a PBEsol-optimized structure of Y2CrHgSe.

Results
Formation energy without anion corrections: -0.0445 eV/atom
SG: P4/mmm (123)

a = 5.2653 Å, b = 5.2653 Å, c = 5.1332 Å
α = 90.00°, β = 90.00°, γ = 90.00°
Atoms (fractional coordinates):
Y 0.0000 0.5000 0.0000
Y 0.5000 0.0000 0.0000
Cr 0.0000 0.0000 0.5000
Hg 0.5000 0.5000 0.5000
Se 0.5000 0.5000 0.0000

4.
The following is a DFT calculation (SCAN) of a PBEsol-optimized structure of Tl2AgF.

Results
Formation energy without anion corrections: -0.6051 eV/atom
SG: Fm-3m (225)

a = 4.8606 Å, b = 4.8606 Å, c = 4.8606 Å
α = 60.00°, β = 60.00°, γ = 60.00°
Atoms (fractional coordinates):
Tl 0.2500 0.2500 0.2500
Tl 0.7500 0.7500 0.7500
Ag 0.0000 0.0000 0.0000
F 0.5000 0.5000 0.5000

5.
The following is a DFT calculation (SCAN) of a PBEsol-optimized structure of CdSnC2O.

Results
Formation energy without anion corrections: 2.3621 eV/atom
SG: P4/mmm (123)

a = 4.0469 Å, b = 4.0469 Å, c = 6.0216 Å
α = 90.00°, β = 90.00°, γ = 90.00°
Atoms (fractional coordinates):
Cd 0.0000 0.0000 0.0000
Sn 0.0000 0.0000 0.5000
C 0.0000 0.5000 0.5000
C 0.5000 0.0000 0.5000
O 0.5000 0.5000 0.0000

6.
The following is a DFT calculation (SCAN) of a PBEsol-optimized structure of Na2AsPCO7.

Results
Formation energy without anion corrections: -1.9386 eV/atom
SG: P2_1/m (11)

a = 5.4963 Å, b = 6.5564 Å, c = 9.1414 Å
α = 90.00°, β = 92.99°, γ = 90.00°
Atoms (fractional coordinates):
Na 0.2251 0.0098 0.2726
Na 0.2251 0.4902 0.2726
Na 0.7749 0.5098 0.7274
Na 0.7749 0.9902 0.7274
As 0.3467 0.2500 0.8684
As 0.6533 0.7500 0.1316
P 0.2576 0.7500 0.9007
P 0.7424 0.2500 0.0993
C 0.2437 0.2500 0.5927
C 0.7563 0.7500 0.4073
O 0.0140 0.2500 0.1305
O 0.0539 0.2500 0.6698
O 0.2507 0.2500 0.4571
O 0.3112 0.7500 0.0754
O 0.3922 0.5625 0.8396
O 0.3922 0.9375 0.8396
O 0.4569 0.2500 0.6763
O 0.5431 0.7500 0.3237
O 0.6078 0.0625 0.1604
O 0.6078 0.4375 0.1604
O 0.6888 0.2500 0.9246
O 0.7493 0.7500 0.5429
O 0.9461 0.7500 0.3302
O 0.9860 0.7500 0.8695

7.
The following is a DFT calculation (SCAN) of a PBEsol-optimized structure of ZnCd.

Results
SG: P2_13 (198)
Energy of formation: 0.1284 eV per atom

a = 5.2344 Å, b = 5.2344 Å, c = 5.2344 Å
α = 90.00°, β = 90.00°, γ = 90.00°
Atoms (fractional coordinates):
Zn 0.1011 0.1011 0.1011
Zn 0.3989 0.8989 0.6011
Zn 0.6011 0.3989 0.8989
Zn 0.8989 0.6011 0.3989
Cd 0.0992 0.5992 0.9008
Cd 0.4008 0.4008 0.4008
Cd 0.5992 0.9008 0.0992
Cd 0.9008 0.0992 0.5992

8.
The following is a DFT calculation (SCAN) of a PBEsol-optimized structure of Li2ScSi.

Results
Formation energy without anion corrections: -0.2602 eV/atom
SG: Fm-3m (225)

a = 4.3284 Å, b = 4.3284 Å, c = 4.3284 Å
α = 60.00°, β = 60.00°, γ = 60.00°
Atoms (fractional coordinates):
Li 0.2500 0.2500 0.2500
Li 0.7500 0.7500 0.7500
Sc 0.0000 0.0000 0.0000
Si 0.5000 0.5000 0.5000

9.
The following is a DFT calculation (SCAN) of a PBEsol-optimized structure of Li3Mn4O8.

Results
Formation energy without anion corrections: -2.1970 eV/atom
SG: C2/m (12)

a = 5.8861 Å, b = 5.8861 Å, c = 5.1420 Å
α = 109.29°, β = 109.29°, γ = 56.94°
Atoms (fractional coordinates):
Li 0.0000 0.0000 0.0000
Li 0.0000 0.5000 0.0000
Li 0.5000 0.0000 0.0000
Mn 0.2522 0.7478 0.5000
Mn 0.2533 0.2533 0.5098
Mn 0.7467 0.7467 0.4902
Mn 0.7478 0.2522 0.5000
O 0.0967 0.6158 0.7338
O 0.1239 0.1239 0.7128
O 0.3736 0.3736 0.3016
O 0.3842 0.9033 0.2662
O 0.6158 0.0967 0.7338
O 0.6264 0.6264 0.6984
O 0.8761 0.8761 0.2872
O 0.9033 0.3842 0.2662

10.
The following is a DFT calculation (SCAN) of a PBEsol-optimized structure of SrCdCl3.

Results
Formation energy without anion corrections: -1.3861 eV/atom
SG: Pm-3m (221)

a = 5.2387 Å, b = 5.2387 Å, c = 5.2387 Å
α = 90.00°, β = 90.00°, γ = 90.00°
Atoms (fractional coordinates):
Sr 0.0000 0.0000 0.0000
Cd 0.5000 0.5000 0.5000
Cl 0.0000 0.5000 0.5000
Cl 0.5000 0.0000 0.5000
Cl 0.5000 0.5000 0.0000

11.
The following is a DFT calculation (SCAN) of a PBEsol-optimized structure of HfTaFeIr2.

Results
SG: P4/mmm (123)
Energy of formation: 1.7995 eV per atom

a = 4.6866 Å, b = 4.6866 Å, c = 4.8402 Å
α = 90.00°, β = 90.00°, γ = 90.00°
Atoms (fractional coordinates):
Hf 0.0000 0.0000 0.0000
Ta 0.0000 0.0000 0.5000
Fe 0.5000 0.5000 0.5000
Ir 0.0000 0.5000 0.0000
Ir 0.5000 0.0000 0.0000

12.
The following is a DFT calculation (SCAN) of a PBEsol-optimized structure of BaSrLa4Be2O10.

Results
Formation energy without anion corrections: -3.4002 eV/atom
SG: P2_1 (4)

a = 6.6661 Å, b = 7.4220 Å, c = 9.7284 Å
α = 90.00°, β = 90.69°, γ = 90.00°
Atoms (fractional coordinates):
Ba 0.0822 0.0000 0.3237
Ba 0.9178 0.5000 0.6763
Sr 0.4160 0.0051 0.8256
Sr 0.5840 0.5051 0.1744
La 0.0774 0.5452 0.3244
La 0.0947 0.2693 0.0231
La 0.4067 0.2689 0.5234
La 0.4311 0.5596 0.8334
La 0.5689 0.0596 0.1666
La 0.5933 0.7689 0.4766
La 0.9053 0.7693 0.9769
La 0.9226 0.0452 0.6756
Be 0.1962 0.7745 0.6041
Be 0.3146 0.7700 0.0976
Be 0.6854 0.2700 0.9024
Be 0.8038 0.2745 0.3959
O 0.0186 0.2743 0.4853
O 0.1407 0.7830 0.7734
O 0.1523 0.2446 0.7818
O 0.1944 0.5837 0.0577
O 0.2054 0.9624 0.0637
O 0.3120 0.9609 0.5667
O 0.3178 0.5841 0.5761
O 0.3383 0.2780 0.2725
O 0.3734 0.7622 0.2683
O 0.4756 0.2743 0.9896
O 0.5244 0.7743 0.0104
O 0.6266 0.2622 0.7317
O 0.6617 0.7780 0.7275
O 0.6822 0.0841 0.4239
O 0.6880 0.4609 0.4333
O 0.7946 0.4624 0.9363
O 0.8056 0.0837 0.9423
O 0.8477 0.7446 0.2182
O 0.8593 0.2830 0.2266
O 0.9814 0.7743 0.5147

Repeat the ninth record exactly.
The following is a DFT calculation (SCAN) of a PBEsol-optimized structure of Li3Mn4O8.

Results
Formation energy without anion corrections: -2.1970 eV/atom
SG: C2/m (12)

a = 5.8861 Å, b = 5.8861 Å, c = 5.1420 Å
α = 109.29°, β = 109.29°, γ = 56.94°
Atoms (fractional coordinates):
Li 0.0000 0.0000 0.0000
Li 0.0000 0.5000 0.0000
Li 0.5000 0.0000 0.0000
Mn 0.2522 0.7478 0.5000
Mn 0.2533 0.2533 0.5098
Mn 0.7467 0.7467 0.4902
Mn 0.7478 0.2522 0.5000
O 0.0967 0.6158 0.7338
O 0.1239 0.1239 0.7128
O 0.3736 0.3736 0.3016
O 0.3842 0.9033 0.2662
O 0.6158 0.0967 0.7338
O 0.6264 0.6264 0.6984
O 0.8761 0.8761 0.2872
O 0.9033 0.3842 0.2662